KMn2H8, relaxed, DFT PBE; space-group type = P31m, No. 157; raw total energy = -0.3066 Ry/atom; crystal system = trigonal
1.0
4.424 0.000 0.000
-2.212 3.831 0.000
0.000 0.000 5.572
K Mn H
1 2 8
direct
0.000 0.000 0.000
0.333 0.667 0.499
0.667 0.333 0.499
0.000 0.439 0.693
0.000 0.722 0.414
0.278 0.278 0.414
0.333 0.667 0.220
0.439 0.000 0.693
0.561 0.561 0.693
0.667 0.333 0.220
0.722 0.000 0.414

RbTlO, relaxed, DFT PBE; space-group type = P2_1/m, No. 11; energy relative to the elements, uncorrected = -864 meV/atom; raw total energy = -0.2666 Ry/atom; crystal system = monoclinic
1.0
6.855 0.000 0.000
0.000 3.695 0.000
-3.427 0.000 6.521
Rb Tl O
2 2 2
direct
0.112 0.250 0.248
0.888 0.750 0.752
0.389 0.750 0.779
0.611 0.250 0.221
0.258 0.250 0.927
0.742 0.750 0.073

PrEr4Th, relaxed, DFT PBE; ΔE_f = 152 meV per atom; space-group type = C2/c, No. 15; offset from the most stable computed form = 129 meV/atom; raw total energy = -0.3618 Ry/atom; crystal system = monoclinic
1.0
4.413 -7.265 0.000
4.413 7.265 0.000
-2.202 0.000 6.200
Pr Er Th
2 8 2
direct
0.086 0.914 0.750
0.914 0.086 0.250
0.072 0.337 0.877
0.215 0.600 0.469
0.337 0.072 0.377
0.400 0.785 0.031
0.600 0.215 0.969
0.663 0.928 0.623
0.785 0.400 0.531
0.928 0.663 0.123
0.498 0.502 0.250
0.502 0.498 0.750

TbHo5Er5, relaxed, DFT PBE; ΔE_f = 147 meV per atom; space-group type = P-1, No. 2; offset from the most stable computed form = 0 meV/atom; raw total energy = -0.3255 Ry/atom; crystal system = triclinic
1.0
6.760 0.000 0.000
2.054 6.575 0.000
1.870 1.461 7.866
Tb Ho Er
1 5 5
direct
0.000 0.000 0.000
0.000 0.500 0.000
0.157 0.631 0.358
0.326 0.766 0.654
0.674 0.234 0.346
0.843 0.369 0.642
0.208 0.138 0.315
0.352 0.248 0.720
0.500 0.500 0.000
0.648 0.752 0.280
0.792 0.862 0.685